[1]
The following is a DFT calculation (PBE-GGA) of an optimized crystal structure of NbFeMoIr.

Output
As for the symmetry: F-43m, No. 216. For the energy relative to the elements, the calculation gives -22 kJ/mol of formula units.

Lattice parameters (Å, degrees): 4.420 4.420 4.420 60.00 60.00 60.00
Each line ends with the local moment (μB).
Element x y z (fractional)
Mo: 0.000 0.000 0.000  0.09
Ir: 0.500 0.500 0.500  0.28
Nb: 0.750 0.750 0.750  0.21
Fe: 0.250 0.250 0.250  2.73

[2]
The following is a DFT calculation (PBE-GGA) of an optimized crystal structure of FeNiMoIr.

Output
As for the symmetry: F-43m, No. 216. For the energy relative to the elements, the calculation gives 11 kJ/mol of formula units. Its relative energy among the computed polymorphs is 0.168 eV per atom.

Lattice parameters (Å, degrees): 4.210 4.210 4.210 60.00 60.00 60.00
Each line ends with the local moment (μB).
Element x y z (fractional)
Ni: 0.000 0.000 0.000  -0.03
Mo: 0.750 0.750 0.750  -0.30
Ir: 0.250 0.250 0.250  0.23
Fe: 0.500 0.500 0.500  2.27

[3]
The following is a DFT calculation (PBE-GGA) of an optimized crystal structure of FeNiMoIr.

Output
As for the symmetry: I-4m2, No. 119. For the energy relative to the elements, the calculation gives -54 kJ/mol of formula units. Its relative energy among the computed polymorphs is 0.000 eV per atom.

Lattice parameters (Å, degrees): 3.729 3.729 4.626 113.77 113.77 90.00
Each line ends with the local moment (μB).
Element x y z (fractional)
Fe: 0.250 0.750 0.500  2.39
Ni: 0.000 0.000 0.000  0.21
Mo: 0.750 0.250 0.500  -0.22
Ir: 0.500 0.500 0.000  0.11

[4]
The following is a DFT calculation (PBE-GGA) of an optimized crystal structure of FeMoIr2Pd.

Output
As for the symmetry: P4/mmm, No. 123. For the energy relative to the elements, the calculation gives 1205 kJ/mol of formula units.

Lattice parameters (Å, degrees): 4.741 4.542 4.741 90.00 90.00 90.00
Each line ends with the local moment (μB).
Element x y z (fractional)
Mo: 0.000 0.500 0.000  -0.06
Ir: 0.000 0.000 0.500  -0.33
Ir: 0.500 0.000 0.000  -0.12
Fe: 0.500 0.500 0.500  0.11
Pd: 0.000 0.000 0.000  -0.11

[5]
The following is a DFT calculation (PBE-GGA) of an optimized crystal structure of FeMoIrRh.

Output
As for the symmetry: Amm2, No. 38. For the energy relative to the elements, the calculation gives -24 kJ/mol of formula units.

Lattice parameters (Å, degrees): 2.692 4.145 5.217 90.00 104.96 90.00
Each line ends with the local moment (μB).
Element x y z (fractional)
Fe: 0.607 0.000 0.145  2.28
Mo: 0.359 0.000 0.648  -0.29
Ir: 0.003 0.500 0.937  0.06
Rh: 0.739 0.500 0.410  0.07

[6]
The following is a DFT calculation (PBE-GGA) of an optimized crystal structure of Fe2MoIrS.

Output
As for the symmetry: P4/mmm, No. 123.

Lattice parameters (Å, degrees): 4.450 4.444 4.450 90.00 90.00 90.00
Each line ends with the local moment (μB).
Element x y z (fractional)
S: 0.000 0.500 0.000  0.05
Mo: 0.000 0.000 0.000  -0.41
Ir: 0.500 0.500 0.500  0.41
Fe: 0.000 0.000 0.500  2.10
Fe: 0.500 0.000 0.000  1.97

[7]
The following is a DFT calculation (PBE-GGA) of an optimized crystal structure of FeSiMoIr.

Output
As for the symmetry: F-43m, No. 216.

Lattice parameters (Å, degrees): 4.234 4.234 4.234 60.00 60.00 60.00
Each line ends with the local moment (μB).
Element x y z (fractional)
Mo: 0.000 0.000 0.000  -0.22
Ir: 0.500 0.500 0.500  0.16
Si: 0.750 0.750 0.750  0.05
Fe: 0.250 0.250 0.250  2.38

[8]
The following is a DFT calculation (PBE-GGA) of an optimized crystal structure of TiFeMoIr.

Output
As for the symmetry: F-43m, No. 216. For the energy relative to the elements, the calculation gives -99 kJ/mol of formula units.

Lattice parameters (Å, degrees): 4.334 4.334 4.334 60.00 60.00 60.00
Each line ends with the local moment (μB).
Element x y z (fractional)
Mo: 0.000 0.000 0.000  -0.20
Ir: 0.500 0.500 0.500  0.25
Fe: 0.750 0.750 0.750  2.54
Ti: 0.250 0.250 0.250  0.14

What did we get for uncorrected energy? Answer: -9.61, -8.46, -8.62, -5.94, -8.94, -6.68, -8.66, -9.27 eV per atom, in the order shown.
What did we get for DOS(E_F)? Answer: 1.070, 1.134, 0.608, 2.456, 0.894, 1.053, 0.740, 1.159 states/eV per atom, in the order shown.